Entry 1:
! CaTePt2, relaxed, DFT GGA-PBEsol; values from VASP
&SYSTEM
  ibrav = 0, nat = 4, ntyp = 3
/
ATOMIC_SPECIES
Pt 195.08 Pt.upf
Ca 40.08 Ca.upf
Te 127.60 Te.upf
CELL_PARAMETERS angstrom
-0.562 0.000 -3.692
3.645 -0.596 -0.555
-0.927 -5.806 0.142
ATOMIC_POSITIONS crystal
Pt 0.500 0.500 0.286
Ca 0.500 0.500 0.790
Pt 0.000 0.000 0.993
Te 0.000 0.000 0.431
! symmetry: P4mm, No. 99
! uncorrected formation energy: -38.37 kJ per mole of atoms
! crystal system: tetragonal

***

Entry 2:
! RbNb2P, relaxed, DFT GGA-PBEsol; values from VASP
&SYSTEM
  ibrav = 0, nat = 8, ntyp = 3
/
ATOMIC_SPECIES
P 30.97 P.upf
Rb 85.47 Rb.upf
Nb 92.91 Nb.upf
CELL_PARAMETERS angstrom
-0.328 -2.317 4.212
-4.027 -2.172 -1.509
7.125 -4.585 -4.723
ATOMIC_POSITIONS crystal
P 0.750 0.250 0.500
Rb 0.250 0.750 0.500
Nb 0.125 0.433 0.750
Rb 0.000 0.000 0.000
Nb 0.625 0.317 0.750
P 0.500 0.500 0.000
Nb 0.567 0.375 0.250
Nb 0.683 0.875 0.250
! symmetry: I-42d, No. 122
! crystal system: tetragonal
! formation energy from the elements: 838 meV per atom

***

| no. | magnetic moment (μB per atom) |
| --- | --- |
| 1 | 0.0000 |
| 2 | 0.0000 |